RbSrH2 | GGA-PBE | relaxed

Unit cell a=4.1445 b=4.1445 c=8.2579 alpha=75.47 beta=75.47 gamma=60.00
Positions (direct):
1 Sr 0.5000 0.5000 0.5000
2 H 0.8704 0.8704 0.3888
3 H 0.1296 0.1296 0.6112
4 Rb 0.0000 0.0000 0.0000

DFT total energy (eV/atom): -2.548
Space group: R-3m (166)
Total moment (μB/atom): 0.00
Energy relative to the lowest polymorph listed for this composition (eV/f.u.): 0.00